DFT (PBE-GGA) results for crystalline InBiOs3 at its relaxed geometry.

abc: 4.8717 4.8717 4.8717
angles: 90.00 90.00 90.00
With the nearest neighbours (Å) after each atom.
Positions (direct):
1 Os 0.0000 0.5000 0.0000  2 In 2.44
2 Os 0.0000 0.0000 0.5000  2 In 2.44
3 Os 0.5000 0.0000 0.0000  2 In 2.44
4 Bi 0.5000 0.5000 0.5000  12 Os 3.44
5 In 0.0000 0.0000 0.0000  6 Os 2.44

Theoretical density ... 12.8 g/cm3
E_tot ... -27.528 eV per cell